1.
Material: Tb3Mg2Zn3
Method: DFT, PBE-GGA
State: relaxed

Results
Electronic total energy   -2.84 eV per atom
Space group   Immm, No. 71
Crystal system   orthorhombic

Cell: 10.6649 10.6649 10.6649 Å, 160.85 152.24 33.95°
With the nearest neighbours (Å) after each atom.
Element x y z (fractional)
Tb 0.0000 0.0000 0.0000  8 Zn 3.06-3.11
Tb 0.3778 0.8778 0.5000  6 Zn 3.06-3.11, 2 Mg 3.42
Tb 0.6222 0.1222 0.5000  6 Zn 3.06-3.11, 2 Mg 3.42
Mg 0.2335 0.2335 0.0000  2 Zn 2.88, 4 Mg 3.18
Mg 0.7665 0.7665 0.0000  2 Zn 2.88, 4 Mg 3.18
Zn 0.1221 0.6221 0.5000  2 Mg 2.88, 6 Tb 3.06-3.11
Zn 0.5000 0.5000 0.0000  8 Tb 3.06-3.11
Zn 0.8779 0.3779 0.5000  2 Mg 2.88, 6 Tb 3.06-3.11


2.
Material: Tb8Mg2Zn
Method: DFT, PBE-GGA
State: relaxed

Results
Electronic total energy   -3.77 eV per atom
Space group   C2/m, No. 12
Crystal system   monoclinic

Cell: 9.3716 9.3716 6.9524 Å, 105.65 105.65 33.18°
With the nearest neighbours (Å) after each atom.
Element x y z (fractional)
Tb 0.0198 0.0198 0.2720  1 Mg 3.15, 2 Zn 3.18, 3 Tb 3.44-3.45
Tb 0.1945 0.1945 0.7751  3 Mg 3.08-3.40, 2 Tb 3.42
Tb 0.3422 0.3422 0.5434  1 Zn 2.93, 1 Mg 3.07
Tb 0.4058 0.4058 0.0533  1 Zn 3.09, 3 Tb 3.41-3.45, 2 Mg 3.41
Tb 0.5942 0.5942 0.9467  1 Zn 3.09, 3 Tb 3.41-3.45, 2 Mg 3.41
Tb 0.6578 0.6578 0.4566  1 Zn 2.93, 1 Mg 3.07
Tb 0.8055 0.8055 0.2249  3 Mg 3.08-3.40, 2 Tb 3.42
Tb 0.9802 0.9802 0.7280  1 Mg 3.15, 2 Zn 3.18, 3 Tb 3.44-3.45
Mg 0.1872 0.1872 0.2130  9 Tb 3.07-3.41
Mg 0.8128 0.8128 0.7870  9 Tb 3.07-3.41
Zn 0.5000 0.5000 0.5000  8 Tb 2.93-3.18


3.
Material: Tb3Mg2Zn
Method: DFT, PBE-GGA
State: relaxed

Results
Electronic total energy   -3.23 eV per atom
Space group   P4/mmm, No. 123
Crystal system   tetragonal

Cell: 3.6673 3.6673 11.5487 Å, 90.00 90.00 90.00°
With the nearest neighbours (Å) after each atom.
Element x y z (fractional)
Tb 0.0000 0.0000 0.0000  8 Mg 3.27
Tb 0.0000 0.0000 0.3518  4 Zn 3.11, 4 Mg 3.31, 1 Tb 3.42
Tb 0.0000 0.0000 0.6482  4 Zn 3.11, 4 Mg 3.31, 1 Tb 3.42
Mg 0.5000 0.5000 0.1730  8 Tb 3.27-3.31
Mg 0.5000 0.5000 0.8270  8 Tb 3.27-3.31
Zn 0.5000 0.5000 0.5000  8 Tb 3.11


| no. | formation energy from the elements (eV per atom) | V (Å³/cell) |
| --- | --- | --- |
| 1 | -0.229 | 185 |
| 2 | -0.001 | 321 |
| 3 | -0.167 | 155 |